# Cr2CdSi

An optimized crystal structure of Cr2CdSi (PBE-GGA, Alexandria).

a b c (Å): 4.003 2.820 5.449
angles (deg): 83.38 90.00 90.00
Each line ends with the local moment (μB).
Fractional coordinates of all 4 atoms:
Cd 0.500 0.625 0.762  0.01
Cr 0.000 0.060 0.044  2.24
Cr 0.500 0.232 0.263  -1.78
Si 0.000 0.583 0.431  0.03

Properties
crystal system = monoclinic
DOS(E_F) = 2.40 states/eV per cell
uncorrected formation energy = 330.1 meV/atom

# Cr2CdSi

An optimized crystal structure of Cr2CdSi (PBE-GGA, Alexandria).

a b c (Å): 2.827 2.827 7.355
angles (deg): 90.00 90.00 90.00
Each line ends with the local moment (μB).
Fractional coordinates of all 4 atoms:
Cd 0.500 0.500 0.750  -0.02
Cr 0.000 0.000 0.048  2.08
Cr 0.000 0.000 0.452  2.08
Si 0.500 0.500 0.250  -0.06

Properties
crystal system = tetragonal
DOS(E_F) = 5.14 states/eV per cell
uncorrected formation energy = 246.0 meV/atom

# Cr2CdSi

An optimized crystal structure of Cr2CdSi (PBE-GGA, Alexandria).

a b c (Å): 3.760 3.760 9.397
angles (deg): 78.46 78.46 90.00
Fractional coordinates of all 8 atoms:
Cr 0.541 0.125 0.250
Cr 0.209 0.625 0.250
Cr 0.375 0.459 0.750
Cr 0.875 0.791 0.750
Si 0.500 0.500 0.000
Si 0.250 0.750 0.500
Cd 0.000 0.000 0.000
Cd 0.750 0.250 0.500

Properties
crystal system = tetragonal
DOS(E_F) = 9.55 states/eV per cell
uncorrected formation energy = 743.6 meV/atom

> Which value of uncorrected formation energy does entry 3 give?

743.6 meV/atom